#w
VASP calculation (PBE) on KAg3F6 after structural relaxation.

Results
- SG: Cmmm

abc: 3.7418 7.0797 7.0797
angles: 111.28 90.00 90.00
Closest atoms and distances in Å follow each position.
Element x y z (fractional)
1 F 0.0000 0.9340 0.6843  1 Ag 2.11
2 F 0.0000 0.0660 0.3157  1 Ag 2.11
3 F 0.5000 0.3265 0.6735  2 Ag 2.19
4 F 0.5000 0.6735 0.3265  2 Ag 2.19
5 F 0.0000 0.3157 0.0660  1 Ag 2.11
6 F 0.0000 0.6843 0.9340  1 Ag 2.11
7 Ag 0.5000 0.0000 0.5000  6 F 2.19-2.42
8 Ag 0.0000 0.0000 0.0000  4 F 2.11
9 Ag 0.5000 0.5000 0.0000  6 F 2.19-2.42
10 K 0.0000 0.5000 0.5000  8 F 2.76-2.87


#x
VASP calculation (PBE) on KAg3F6 after structural relaxation.

Results
- SG: P1

abc: 6.0842 6.0774 6.1379
angles: 90.05 119.56 119.90
Closest atoms and distances in Å follow each position.
Element x y z (fractional)
1 F 0.2047 0.8042 0.2053  3 Ag 2.23-2.47
2 F 0.2486 0.9115 0.7164  2 Ag 2.20-2.21
3 F 0.3812 0.4665 0.7177  2 Ag 2.20
4 F 0.4052 0.4036 0.2071  3 Ag 2.23-2.47
5 F 0.8041 0.3359 0.7196  2 Ag 2.21-2.22
6 F 0.8036 0.0034 0.2059  3 Ag 2.24-2.45
7 Ag 0.7554 0.3774 0.1322  5 F 2.45-2.73
8 Ag 0.3014 0.1504 0.4524  6 F 2.20-2.24
9 Ag 0.3054 0.6524 0.9580  6 F 2.20-2.25
10 K 0.7904 0.8947 0.6855  3 F 2.65


Most stable = #w